# LaBMoO5

An optimized crystal structure of LaBMoO5 (GGA+U, Alexandria via LeMat-Bulk).

```
LaBMoO5
1.0
5.517 -0.021 -0.014
-1.630 5.270 -0.014
-1.632 -2.204 6.624
La B Mo O
2 2 2 10
direct
0.346 0.654 0.250
0.654 0.346 0.750
0.687 0.313 0.250
0.313 0.687 0.750
0.000 0.000 0.500
0.000 0.000 0.000
0.082 0.918 0.250
0.918 0.082 0.750
0.880 0.322 0.133
0.120 0.678 0.867
0.678 0.120 0.367
0.322 0.880 0.633
0.750 0.591 0.402
0.250 0.409 0.598
0.409 0.250 0.098
0.591 0.750 0.902
```

Output
Magnetic moment ... 4.00 μB/cell
E ... -0.29029 Ha/atom